# HgClF3 (GGA-PBEsol, relaxed)
data_HgClF3
_chemical_formula_sum 'Hg1 Cl1 F3'
_space_group_name_H-M_alt 'P m -3 m'
_space_group_IT_number 221
_space_group_name_Hall '-P 4 2 3'
_cell_length_a 4.2841
_cell_length_b 4.2841
_cell_length_c 4.2841
_cell_angle_alpha 90.00
_cell_angle_beta 90.00
_cell_angle_gamma 90.00
loop_
_atom_site_label
_atom_site_fract_x
_atom_site_fract_y
_atom_site_fract_z
Hg1 0.0000 0.0000 0.0000
Cl1 0.5000 0.5000 0.5000
F1 0.0000 0.5000 0.5000
# VASP energy: -9.66 eV per formula unit
# Magnetic moment: 0.5 μB per cell

***

# HgCl2F2 (GGA-PBEsol, relaxed)
data_HgCl2F2
_chemical_formula_sum 'Hg2 Cl4 F4'
_space_group_name_H-M_alt 'P 4/m b m'
_space_group_IT_number 127
_space_group_name_Hall '-P 4 2ab'
_cell_length_a 5.9556
_cell_length_b 5.9556
_cell_length_c 5.7329
_cell_angle_alpha 90.00
_cell_angle_beta 90.00
_cell_angle_gamma 90.00
loop_
_atom_site_label
_atom_site_fract_x
_atom_site_fract_y
_atom_site_fract_z
Hg1 0.0000 0.0000 0.0000
Cl1 0.1179 0.3821 0.5000
F1 0.1791 0.6791 0.0000
# VASP energy: -11.88 eV per formula unit
# Magnetic moment: 0.0 μB per cell

***

# HgPCl2F (GGA-PBEsol, relaxed)
data_HgPCl2F
_chemical_formula_sum 'Hg1 P1 Cl2 F1'
_space_group_name_H-M_alt 'P 4/m m m'
_space_group_IT_number 123
_space_group_name_Hall '-P 4 2'
_cell_length_a 4.9681
_cell_length_b 4.9681
_cell_length_c 5.1531
_cell_angle_alpha 90.00
_cell_angle_beta 90.00
_cell_angle_gamma 90.00
loop_
_atom_site_label
_atom_site_fract_x
_atom_site_fract_y
_atom_site_fract_z
Hg1 0.0000 0.0000 0.0000
P1 0.0000 0.0000 0.5000
Cl1 0.0000 0.5000 0.0000
F1 0.5000 0.5000 0.5000
# VASP energy: -9.95 eV per formula unit
# Magnetic moment: 1.0 μB per cell

***

# Ta2HgClF (GGA-PBEsol, relaxed)
data_Ta2HgClF
_chemical_formula_sum 'Ta2 Hg1 Cl1 F1'
_space_group_name_H-M_alt 'P 4/m m m'
_space_group_IT_number 123
_space_group_name_Hall '-P 4 2'
_cell_length_a 4.1966
_cell_length_b 4.1966
_cell_length_c 4.9319
_cell_angle_alpha 90.00
_cell_angle_beta 90.00
_cell_angle_gamma 90.00
loop_
_atom_site_label
_atom_site_fract_x
_atom_site_fract_y
_atom_site_fract_z
Ta1 0.0000 0.5000 0.0000
Hg1 0.0000 0.0000 0.5000
Cl1 0.5000 0.5000 0.5000
F1 0.5000 0.5000 0.0000
# VASP energy: -28.24 eV per formula unit
# Magnetic moment: 0.0 μB per cell